[1]
This record from OQMD via LeMat-Bulk describes NbFeHg2 after structural relaxation. The functional is PBE-GGA. Values from VASP.

## Properties
Crystal system = cubic
Energy of formation from the pure elements = 0.49 eV/atom
Size of the total moment = 1.59 μB/f.u.

Quantum ESPRESSO input file:
```
&SYSTEM
  ibrav = 0, nat = 4, ntyp = 3
/
ATOMIC_SPECIES
Nb 92.91 Nb.upf
Hg 200.59 Hg.upf
Fe 55.84 Fe.upf
CELL_PARAMETERS angstrom
0.0000 3.3091 3.3091
3.3091 0.0000 3.3091
3.3091 3.3091 0.0000
ATOMIC_POSITIONS crystal
Nb 0.5000 0.5000 0.5000
Hg 0.0000 0.0000 0.0000
Hg 0.7500 0.7500 0.7500
Fe 0.2500 0.2500 0.2500
```

[2]
This record from OQMD via LeMat-Bulk describes NbFeHgSb after structural relaxation. The functional is PBE-GGA. Values from VASP.

## Properties
Energy = -5.29 eV per atom
Crystal system = cubic
Size of the total moment = 2.29 μB/f.u.

Quantum ESPRESSO input file:
```
&SYSTEM
  ibrav = 0, nat = 4, ntyp = 4
/
ATOMIC_SPECIES
Nb 92.91 Nb.upf
Sb 121.76 Sb.upf
Fe 55.84 Fe.upf
Hg 200.59 Hg.upf
CELL_PARAMETERS angstrom
-1.6241 -1.2073 4.2417
0.0956 3.1073 3.5246
-4.0072 1.8630 1.5995
ATOMIC_POSITIONS crystal
Nb 0.2500 0.2500 0.2500
Sb 0.0000 0.0000 0.0000
Fe 0.7500 0.7500 0.7500
Hg 0.5000 0.5000 0.5000
```

[3]
This record from OQMD via LeMat-Bulk describes NbFeHgSb after structural relaxation. The functional is PBE-GGA. Values from VASP.

## Properties
Energy = -5.12 eV per atom
Crystal system = cubic
Size of the total moment = 0.22 μB/f.u.

Quantum ESPRESSO input file:
```
&SYSTEM
  ibrav = 0, nat = 4, ntyp = 4
/
ATOMIC_SPECIES
Fe 55.84 Fe.upf
Hg 200.59 Hg.upf
Nb 92.91 Nb.upf
Sb 121.76 Sb.upf
CELL_PARAMETERS angstrom
0.0000 3.3359 3.3359
3.3359 0.0000 3.3359
3.3359 3.3359 0.0000
ATOMIC_POSITIONS crystal
Fe 0.7500 0.7500 0.7500
Hg 0.2500 0.2500 0.2500
Nb 0.5000 0.5000 0.5000
Sb 0.0000 0.0000 0.0000
```

[4]
This record from OQMD via LeMat-Bulk describes NbFeSnHg after structural relaxation. The functional is PBE-GGA. Values from VASP.

## Properties
Energy = -5.25 eV per atom
Crystal system = cubic
Size of the total moment = 1.60 μB/f.u.

Quantum ESPRESSO input file:
```
&SYSTEM
  ibrav = 0, nat = 4, ntyp = 4
/
ATOMIC_SPECIES
Hg 200.59 Hg.upf
Nb 92.91 Nb.upf
Fe 55.84 Fe.upf
Sn 118.71 Sn.upf
CELL_PARAMETERS angstrom
-2.8134 3.5475 1.0374
0.2491 3.9498 -2.4317
-3.4374 1.1629 -2.8996
ATOMIC_POSITIONS crystal
Hg 0.5000 0.5000 0.5000
Nb 0.2500 0.2500 0.2500
Fe 0.7500 0.7500 0.7500
Sn 0.0000 0.0000 0.0000
```